AlTlRu4: optimized geometry, PBE.

Geometry as POSCAR:
```
AlTlRu4
1.0
2.690 1.235 4.248
-2.465 1.720 4.216
-0.308 -2.987 4.218
Al Tl Ru
1 1 4
Direct
0.000 0.000 0.000
0.750 0.750 0.750
0.876 0.375 0.375
0.375 0.375 0.876
0.375 0.876 0.375
0.375 0.375 0.375
```

## Properties
**Formation energy from the elements**: 0.5110 eV/atom
**Volume**: 98 Å³/f.u.
**Crystal system**: cubic
**Total moment**: 0.37 μB/cell
**Space-group type**: F-43m


TbBe17Tc: optimized geometry, PBE.

Geometry as POSCAR:
```
TbBe17Tc
1.0
5.608 0.012 0.675
0.600 5.576 0.675
0.013 0.012 5.649
Tb Be Tc
1 17 1
Direct
0.660 0.660 0.660
0.287 0.007 0.705
0.705 0.287 0.007
0.007 0.705 0.287
0.287 0.705 0.007
0.007 0.287 0.705
0.705 0.007 0.287
0.339 0.854 0.339
0.339 0.339 0.854
0.854 0.339 0.339
0.650 0.166 0.650
0.650 0.650 0.166
0.166 0.650 0.650
0.000 0.501 0.000
0.000 0.000 0.501
0.501 0.000 0.000
0.909 0.909 0.909
0.102 0.102 0.102
0.330 0.330 0.330
```

## Properties
**Formation energy from the elements**: -0.1052 eV/atom
**Volume**: 177 Å³/f.u.
**Crystal system**: trigonal
**Total moment**: 0.00 μB/cell
**Space-group type**: R3m


PrDyYTh: optimized geometry, PBE.

Geometry as POSCAR:
```
PrDyYTh
1.0
-0.468 1.407 5.531
4.117 -1.488 3.692
3.427 4.007 2.235
Pr Y Th Dy
1 1 1 1
Direct
0.750 0.750 0.750
0.500 0.500 0.500
0.250 0.250 0.250
0.000 0.000 0.000
```

## Properties
**Polymorph energy (0 for the lowest one)**: 125 meV per atom
**Formation energy from the elements**: 0.1392 eV/atom
**Volume**: 133 Å³/f.u.
**Crystal system**: cubic
**Total moment**: 0.00 μB/cell
**Space-group type**: F-43m


CoSnIr2: optimized geometry, PBE.

Geometry as POSCAR:
```
CoSnIr2
1.0
3.930 0.000 0.000
0.000 3.930 0.000
1.965 1.965 8.783
Ir Co Sn
4 2 2
Direct
0.579 0.125 0.250
0.171 0.625 0.250
0.375 0.421 0.750
0.875 0.829 0.750
0.500 0.500 0.000
0.250 0.750 0.500
0.000 0.000 0.000
0.750 0.250 0.500
```

## Properties
**Formation energy from the elements**: 0.4172 eV/atom
**Volume**: 68 Å³/f.u.
**Crystal system**: tetragonal
**Total moment**: 3.23 μB/cell
**Space-group type**: I-42d


Pm3Dy2Hg4: optimized geometry, PBE.

Geometry as POSCAR:
```
Pm3Dy2Hg4
1.0
-3.928 -4.245 -3.760
4.411 -6.261 2.460
-3.846 0.940 9.287
Pm Dy Hg
6 4 8
Direct
0.000 0.000 0.000
0.500 0.500 0.000
0.511 0.750 0.521
0.989 0.250 0.479
0.489 0.250 0.479
0.011 0.750 0.521
0.094 0.585 0.187
0.906 0.415 0.813
0.406 0.085 0.813
0.594 0.915 0.187
0.678 0.750 0.855
0.822 0.250 0.145
0.322 0.250 0.145
0.178 0.750 0.855
0.160 0.961 0.320
0.840 0.039 0.680
0.340 0.461 0.680
0.660 0.539 0.320
```

## Properties
**Formation energy from the elements**: -0.2865 eV/atom
**Volume**: 263 Å³/f.u.
**Crystal system**: orthorhombic
**Total moment**: 0.00 μB/cell
**Space-group type**: Cmce


MnZn4: optimized geometry, PBE.

Geometry as POSCAR:
```
MnZn4
1.0
3.890 0.000 0.000
1.945 4.297 0.000
-1.945 0.000 4.297
Mn Zn
1 4
Direct
0.000 0.000 0.000
0.797 0.799 0.393
0.203 0.201 0.607
0.596 0.607 0.799
0.404 0.393 0.201
```

## Properties
**Polymorph energy (0 for the lowest one)**: 0 meV per atom
**Formation energy from the elements**: 0.0463 eV/atom
**Volume**: 72 Å³/f.u.
**Crystal system**: tetragonal
**Total moment**: 3.12 μB/cell
**Space-group type**: I4/m


GaCoMo: optimized geometry, PBE.

Geometry as POSCAR:
```
GaCoMo
1.0
4.620 0.000 0.000
2.310 4.135 0.000
2.310 0.000 8.730
Ga Co Mo
4 4 4
Direct
0.172 0.500 0.657
0.328 0.500 0.343
0.578 0.000 0.843
0.422 0.000 0.157
0.627 0.500 0.747
0.873 0.500 0.253
0.123 0.000 0.753
0.877 0.000 0.247
0.919 0.163 0.500
0.581 0.837 0.500
0.831 0.337 0.000
0.169 0.663 0.000
```

## Properties
**Formation energy from the elements**: -0.0528 eV/atom
**Volume**: 42 Å³/f.u.
**Crystal system**: orthorhombic
**Total moment**: 0.00 μB/cell
**Space-group type**: Fddd


AlSe2F: optimized geometry, PBE.

Geometry as POSCAR:
```
AlSe2F
1.0
0.000 3.160 3.160
3.160 0.000 3.160
3.160 3.160 0.000
Al Se F
1 2 1
Direct
0.500 0.500 0.500
0.250 0.250 0.250
0.750 0.750 0.750
0.000 0.000 0.000
```

## Properties
**Polymorph energy (0 for the lowest one)**: 295 meV per atom
**Volume**: 63 Å³/f.u.
**Crystal system**: cubic
**Total moment**: 0.00 μB/cell
**Space-group type**: Fm-3m


Be2SiPd: optimized geometry, PBE.

Geometry as POSCAR:
```
Be2SiPd
1.0
6.504 0.000 0.000
0.000 6.504 0.000
3.252 3.252 2.416
Be Si Pd
4 2 2
Direct
0.623 0.125 0.250
0.127 0.625 0.250
0.375 0.377 0.750
0.875 0.873 0.750
0.500 0.500 0.000
0.250 0.750 0.500
0.000 0.000 0.000
0.750 0.250 0.500
```

## Properties
**Polymorph energy (0 for the lowest one)**: 452 meV per atom
**Volume**: 51 Å³/f.u.
**Crystal system**: tetragonal
**Total moment**: 0.00 μB/cell
**Space-group type**: I-42d


Ba3I: optimized geometry, PBE.

Geometry as POSCAR:
```
Ba3I
1.0
4.389 0.000 0.000
0.000 7.795 0.000
-2.195 -3.898 6.739
I Ba
1 3
Direct
0.000 0.029 0.000
0.298 0.665 0.596
0.500 0.404 0.000
0.702 0.069 0.404
```

## Properties
**Polymorph energy (0 for the lowest one)**: 0 meV per atom
**Volume**: 231 Å³/f.u.
**Crystal system**: orthorhombic
**Total moment**: 0.42 μB/cell
**Space-group type**: Imm2


TbSm2DyS4: optimized geometry, PBE.

Geometry as POSCAR:
```
TbSm2DyS4
1.0
3.922 0.000 0.000
0.000 6.849 0.133
0.000 -2.379 6.506
Tb Sm Dy S
1 2 1 4
Direct
0.000 0.000 0.000
0.500 0.000 0.500
0.000 0.500 0.500
0.500 0.500 0.000
0.500 0.248 0.241
0.500 0.752 0.759
0.000 0.254 0.759
0.000 0.746 0.241
```

## Properties
**Volume**: 176 Å³/f.u.
**Crystal system**: monoclinic
**Total moment**: 0.00 μB/cell
**Space-group type**: P2/m


Er2Be15Fe2: optimized geometry, PBE.

Geometry as POSCAR:
```
Er2Be15Fe2
1.0
5.799 -0.058 0.693
0.608 5.767 0.693
-0.065 -0.058 5.840
Er Be Fe
2 15 2
Direct
0.343 0.343 0.343
0.657 0.657 0.657
0.500 0.000 0.000
0.000 0.000 0.500
0.000 0.500 0.000
0.000 0.722 0.278
0.722 0.278 0.000
0.278 0.000 0.722
0.278 0.722 0.000
0.722 0.000 0.278
0.000 0.278 0.722
0.148 0.664 0.664
0.664 0.664 0.148
0.664 0.148 0.664
0.852 0.336 0.336
0.336 0.336 0.852
0.336 0.852 0.336
0.098 0.098 0.098
0.902 0.902 0.902
```

## Properties
**Formation energy from the elements**: -0.1639 eV/atom
**Volume**: 196 Å³/f.u.
**Crystal system**: trigonal
**Total moment**: 1.97 μB/cell
**Space-group type**: R-3m


TaBeIn: optimized geometry, PBE.

Geometry as POSCAR:
```
TaBeIn
1.0
4.341 0.000 0.000
-2.170 3.759 0.000
0.000 0.000 3.006
Be In Ta
1 1 1
Direct
0.000 0.000 0.166
0.667 0.333 0.167
0.333 0.667 0.667
```

## Properties
**Polymorph energy (0 for the lowest one)**: 91 meV per atom
**Formation energy from the elements**: 0.3700 eV/atom
**Volume**: 49 Å³/f.u.
**Crystal system**: hexagonal
**Total moment**: 0.00 μB/cell
**Space-group type**: P-6m2


NaCd2Rh2: optimized geometry, PBE.

Geometry as POSCAR:
```
NaCd2Rh2
1.0
4.814 0.000 0.000
0.000 4.814 0.000
2.407 2.407 4.782
Na Rh Cd
1 2 2
Direct
0.000 0.000 0.000
0.375 0.375 0.250
0.625 0.625 0.750
0.750 0.250 0.500
0.250 0.750 0.500
```

## Properties
**Polymorph energy (0 for the lowest one)**: 210 meV per atom
**Formation energy from the elements**: 0.1949 eV/atom
**Volume**: 111 Å³/f.u.
**Crystal system**: tetragonal
**Total moment**: 0.00 μB/cell
**Space-group type**: I4/mmm


LaIn4Fe: optimized geometry, PBE.

Geometry as POSCAR:
```
LaIn4Fe
1.0
-0.861 4.324 4.077
-2.270 5.300 -1.678
-5.576 1.528 1.624
La In Fe
1 4 1
Direct
0.750 0.750 0.750
0.876 0.375 0.375
0.375 0.375 0.876
0.375 0.876 0.375
0.375 0.375 0.375
0.000 0.000 0.000
```

## Properties
**Formation energy from the elements**: 0.1798 eV/atom
**Volume**: 153 Å³/f.u.
**Crystal system**: cubic
**Total moment**: 2.91 μB/cell
**Space-group type**: F-43m


CsFe2CuCl8: optimized geometry, PBE.

Geometry as POSCAR:
```
CsFe2CuCl8
1.0
6.781 0.000 0.000
3.391 6.733 0.172
3.391 2.708 8.255
Cs Fe Cu Cl
1 2 1 8
Direct
0.500 0.500 0.500
0.314 0.209 0.162
0.686 0.791 0.838
0.000 0.000 0.000
0.853 0.651 0.643
0.685 0.550 0.080
0.147 0.349 0.357
0.315 0.450 0.920
0.665 0.989 0.202
0.335 0.011 0.798
0.144 0.989 0.202
0.856 0.011 0.798
```

## Properties
**Volume**: 374 Å³/f.u.
**Crystal system**: monoclinic
**Total moment**: 10.01 μB/cell
**Space-group type**: C2/m


NaScSb2: optimized geometry, PBE.

Geometry as POSCAR:
```
NaScSb2
1.0
4.621 0.000 0.000
2.310 4.002 0.000
2.310 1.334 6.017
Na Sc Sb
1 1 2
Direct
0.492 0.492 0.523
0.671 0.671 0.986
0.081 0.081 0.757
0.255 0.255 0.234
```

## Properties
**Polymorph energy (0 for the lowest one)**: 18 meV per atom
**Volume**: 111 Å³/f.u.
**Crystal system**: trigonal
**Total moment**: 0.00 μB/cell
**Space-group type**: R3m


AcNpTeS2: optimized geometry, PBE.

Geometry as POSCAR:
```
AcNpTeS2
1.0
4.595 0.000 0.000
0.000 4.595 0.000
-2.298 -2.298 7.034
Ac Np Te S
1 1 1 2
Direct
0.131 0.131 0.262
0.855 0.855 0.710
0.499 0.499 0.997
0.758 0.258 0.515
0.258 0.758 0.515
```

## Properties
**Volume**: 149 Å³/f.u.
**Crystal system**: tetragonal
**Total moment**: 4.00 μB/cell
**Space-group type**: I4mm


SrPrTl: optimized geometry, PBE.

Geometry as POSCAR:
```
SrPrTl
1.0
5.533 0.000 0.000
2.766 4.792 0.000
2.766 1.597 4.518
Pr Sr Tl
1 1 1
Direct
0.000 0.000 0.000
0.500 0.500 0.500
0.250 0.250 0.250
```

## Properties
**Formation energy from the elements**: -0.1081 eV/atom
**Volume**: 120 Å³/f.u.
**Crystal system**: cubic
**Total moment**: 0.00 μB/cell
**Space-group type**: F-43m


DyP2Pd4: optimized geometry, PBE.

Geometry as POSCAR:
```
DyP2Pd4
1.0
-3.962 -0.331 1.280
1.184 -2.613 2.989
0.303 6.384 2.590
Dy P Pd
1 2 4
Direct
0.000 0.000 0.000
0.500 0.584 0.169
0.500 0.416 0.831
0.500 0.827 0.653
0.000 0.670 0.340
0.500 0.173 0.347
0.000 0.330 0.660
```

## Properties
**Polymorph energy (0 for the lowest one)**: 0 meV per atom
**Formation energy from the elements**: -0.8129 eV/atom
**Volume**: 114 Å³/f.u.
**Crystal system**: orthorhombic
**Total moment**: 0.00 μB/cell
**Space-group type**: Cmmm


KTl2ReBr8: optimized geometry, PBE.

Geometry as POSCAR:
```
KTl2ReBr8
1.0
6.316 -1.645 0.002
-1.805 8.045 -0.006
-0.001 0.009 9.334
K Tl Re Br
1 2 1 8
Direct
0.000 0.000 0.500
0.500 0.500 0.742
0.500 0.500 0.258
0.000 0.000 0.000
0.035 0.796 0.190
0.574 0.809 0.000
0.965 0.204 0.190
0.965 0.204 0.810
0.426 0.191 0.000
0.035 0.796 0.810
0.438 0.721 0.500
0.562 0.279 0.500
```

## Properties
**Volume**: 447 Å³/f.u.
**Crystal system**: monoclinic
**Total moment**: 1.98 μB/cell
**Space-group type**: P2/m


GdYCuPb: optimized geometry, PBE.

Geometry as POSCAR:
```
GdYCuPb
1.0
5.228 0.000 0.000
2.614 4.528 0.000
2.614 1.509 4.269
Pb Y Gd Cu
1 1 1 1
Direct
0.500 0.500 0.500
0.750 0.750 0.750
0.250 0.250 0.250
0.000 0.000 0.000
```

## Properties
**Formation energy from the elements**: -0.3301 eV/atom
**Volume**: 101 Å³/f.u.
**Crystal system**: cubic
**Total moment**: 7.90 μB/cell
**Space-group type**: F-43m


TlIn2CoBi: optimized geometry, PBE.

Geometry as POSCAR:
```
TlIn2CoBi
1.0
5.042 0.000 0.000
0.000 5.042 0.000
0.000 0.000 5.172
Tl Co Bi In
1 1 1 2
Direct
0.500 0.500 0.500
0.000 0.000 0.000
0.000 0.000 0.500
0.000 0.500 0.000
0.500 0.000 0.000
```

## Properties
**Formation energy from the elements**: 0.1080 eV/atom
**Volume**: 131 Å³/f.u.
**Crystal system**: tetragonal
**Total moment**: 0.00 μB/cell
**Space-group type**: P4/mmm


no.,final energy (eV/atom)
1,-6.6910
2,-4.2284
3,-5.6772
4,-6.7905
5,-3.0269
6,-2.8068
7,-7.0408
8,-3.6068
9,-4.2562
10,-2.3630
11,-6.4103
12,-4.4768
13,-5.7357
14,-3.3755
15,-3.8776
16,-4.0002
17,-4.4499
18,-7.0327
19,-3.0506
20,-5.9833
21,-3.3359
22,-7.4175
23,-3.6580